Below is CoAgAsO after structural relaxation, with properties calculated at the GGA+U level.

Unit cell a=3.9756 b=3.9756 c=9.0283 alpha=90.00 beta=90.00 gamma=90.00
Last column: nearest neighbours and their distance in Å.
Element x y z (fractional)
As1 0.5000 0.0000 0.3102  1 Co 2.39, 4 Ag 2.62
Ag1 0.0000 0.0000 0.5000  4 As 2.62, 4 Ag 2.81
Ag2 0.5000 0.5000 0.5000  4 As 2.62, 4 Ag 2.81
Co1 0.5000 0.0000 0.0453  4 O 2.03
O1 0.5000 0.5000 0.0000  4 Co 2.03
O2 0.0000 0.0000 0.0000  4 Co 2.03
As2 0.0000 0.5000 0.6898  1 Co 2.39, 4 Ag 2.62
Co2 0.0000 0.5000 0.9547  4 O 2.03

Output
Volume in Å³/cell: 143
Energy relative to the lowest polymorph listed for this composition in eV/atom: 0.090
Size of the total moment in μB per formula unit: 0.36
Uncorrected energy in eV per cell: -35.28
Space group: P4/nmm, No. 129